Ag2PPb | SCAN | PBEsol geometry

Geometry as POSCAR:
```
Ag2PPb
1.0
4.3450 0.0000 0.0000
0.0000 4.3450 0.0000
-2.1725 -2.1725 4.0870
Ag P Pb
2 1 1
direct
0.7500 0.2500 0.5000
0.2500 0.7500 0.5000
0.5000 0.5000 0.0000
0.0000 0.0000 0.0000
```

Values from the calculation:
Size of the total moment   0.00 μB/cell
DOS at the Fermi energy   0.7 states/eV/f.u.
Formation enthalpy at 0 K   1.220 eV/f.u.